Material: YCu3Ni4O12
Method: DFT, PBE with a Hubbard U
State: optimized geometry Values from VASP.

The structure in Quantum ESPRESSO input format:
```
&SYSTEM
  ibrav = 0, nat = 20, ntyp = 4
/
ATOMIC_SPECIES
O 16.00 O.upf
Cu 63.55 Cu.upf
Ni 58.69 Ni.upf
Y 88.91 Y.upf
CELL_PARAMETERS angstrom
6.3109 0.0000 0.0000
-2.1036 5.9500 0.0000
-2.1036 -2.9750 5.1528
ATOMIC_POSITIONS angstrom
O 3.6272 3.6247 0.8688
Cu 2.1036 2.9750 0.0000
Ni 3.1554 0.0000 0.0000
O 1.5235 3.3852 2.7047
O 2.6837 1.0599 3.5735
Ni -1.0518 -1.4875 2.5764
Ni -1.0518 2.9750 0.0000
O 2.2084 -1.5616 4.4424
O -0.1047 4.5365 0.7105
O 1.9989 1.3220 0.8688
O 0.1047 1.6530 4.2840
Y 0.0000 0.0000 0.0000
Cu -2.1036 1.4875 2.5764
O 0.5801 -0.4102 2.4481
O -0.5801 1.9150 1.5793
O -1.5235 -0.6498 4.2840
Cu 2.1036 -1.4875 2.5764
O -2.2084 3.0664 3.5735
Ni 1.0518 1.4875 2.5764
O 4.3120 -0.0914 1.5793
```

Calculated values
space-group type	Im-3 (204)
raw total energy	-5.4086	eV/atom
mass density	6.1	g/cm³